(1)
# DyMg2Ru (GGA-PBE, optimized geometry)
data_DyMg2Ru
_symmetry_space_group_name_H-M 'P n m a'
_symmetry_Int_Tables_number 62
_symmetry_space_group_name_Hall '-P 2ac 2n'
_cell_length_a 7.6826
_cell_length_b 8.2615
_cell_length_c 5.3762
_cell_angle_alpha 90.00
_cell_angle_beta 90.00
_cell_angle_gamma 90.00
loop_
_atom_site_label
_atom_site_fract_x
_atom_site_fract_y
_atom_site_fract_z
Dy1 0.0330 0.2500 0.0943
Mg1 0.1694 0.0573 0.6033
Ru1 0.1269 0.7500 0.3978
# Total moment in μB per cell: 0.00
# Energy relative to the elements in eV per atom: -0.203
# DOS at the Fermi energy in states/eV per atom: 0.551
# Calculated volume in A^3/atom: 21.3
# Total energy in eV for the cell shown: -71.516

***

(2)
# BaReAs2Br (GGA-PBE, optimized geometry)
data_BaReAs2Br
_symmetry_space_group_name_H-M 'P 4/m m m'
_symmetry_Int_Tables_number 123
_symmetry_space_group_name_Hall '-P 4 2'
_cell_length_a 6.2956
_cell_length_b 6.2956
_cell_length_c 6.0155
_cell_angle_alpha 90.00
_cell_angle_beta 90.00
_cell_angle_gamma 90.00
loop_
_atom_site_label
_atom_site_fract_x
_atom_site_fract_y
_atom_site_fract_z
Ba1 0.0000 0.0000 0.0000
Re1 0.5000 0.5000 0.5000
As1 0.0000 0.5000 0.0000
Br1 0.0000 0.0000 0.5000
# Total moment in μB per cell: 2.06
# Energy relative to the lowest polymorph listed for this composition in meV per atom: 1964
# DOS at the Fermi energy in states/eV per atom: 0.764
# Energy relative to the elements, uncorrected in meV per atom: 1602.1
# Calculated volume in A^3/atom: 47.7
# Total energy in eV for the cell shown: -17.332

***

(3)
# Dy6Ho5Tm2 (GGA-PBE, optimized geometry)
data_Dy6Ho5Tm2
_symmetry_space_group_name_H-M 'P b a m'
_symmetry_Int_Tables_number 55
_symmetry_space_group_name_Hall '-P 2 2ab'
_cell_length_a 11.5071
_cell_length_b 20.0533
_cell_length_c 3.5432
_cell_angle_alpha 90.00
_cell_angle_beta 90.00
_cell_angle_gamma 90.00
loop_
_atom_site_label
_atom_site_fract_x
_atom_site_fract_y
_atom_site_fract_z
Dy1 0.0590 0.0812 0.0000
Dy2 0.0834 0.3684 0.0000
Dy3 0.1722 0.6364 0.5000
Ho1 0.0000 0.5000 0.5000
Ho2 0.0898 0.2271 0.5000
Ho3 0.1983 0.9489 0.5000
Tm1 0.1669 0.7905 0.0000
# Total moment in μB per cell: 0.00
# Energy relative to the elements in eV per atom: 0.100
# DOS at the Fermi energy in states/eV per atom: 1.179
# Calculated volume in A^3/atom: 31.4
# Total energy in eV for the cell shown: -116.279

***

(4)
# YMg2W (GGA-PBE, optimized geometry)
data_YMg2W
_symmetry_space_group_name_H-M 'C m m 2'
_symmetry_Int_Tables_number 35
_symmetry_space_group_name_Hall 'C 2 -2'
_cell_length_a 4.0128
_cell_length_b 4.4331
_cell_length_c 9.7004
_cell_angle_alpha 90.00
_cell_angle_beta 90.00
_cell_angle_gamma 90.00
loop_
_atom_site_label
_atom_site_fract_x
_atom_site_fract_y
_atom_site_fract_z
Y1 0.0000 0.0000 0.0000
Mg1 0.0000 0.0000 0.5391
Mg2 0.0000 0.5000 0.2861
W1 0.0000 0.5000 0.7602
# Total moment in μB per cell: 0.00
# Energy relative to the elements in eV per atom: 0.346
# Energy relative to the lowest polymorph listed for this composition in meV per atom: 0
# DOS at the Fermi energy in states/eV per atom: 0.572
# Calculated volume in A^3/atom: 21.6
# Total energy in eV for the cell shown: -42.447

***

(5)
# La3Tb2Sm4 (GGA-PBE, optimized geometry)
data_La3Tb2Sm4
_symmetry_space_group_name_H-M 'C 1 2/m 1'
_symmetry_Int_Tables_number 12
_symmetry_space_group_name_Hall '-C 2y'
_cell_length_a 15.9518
_cell_length_b 3.6594
_cell_length_c 10.9434
_cell_angle_alpha 90.00
_cell_angle_beta 103.81
_cell_angle_gamma 90.00
loop_
_atom_site_label
_atom_site_fract_x
_atom_site_fract_y
_atom_site_fract_z
La1 0.0000 0.0000 0.0000
La2 0.1674 0.5000 0.5555
Tb1 0.1670 0.5000 0.2212
Sm1 0.9999 0.0000 0.3310
Sm2 0.1672 0.5000 0.8898
# Total moment in μB per cell: 0.00
# Energy relative to the elements in eV per atom: 0.020
# Energy relative to the lowest polymorph listed for this composition in meV per atom: 0
# DOS at the Fermi energy in states/eV per atom: 1.499
# Calculated volume in A^3/atom: 34.5
# Total energy in eV for the cell shown: -85.481

***

(6)
# MnAlTc2 (GGA-PBE, optimized geometry)
data_MnAlTc2
_symmetry_space_group_name_H-M 'P 1 2/m 1'
_symmetry_Int_Tables_number 10
_symmetry_space_group_name_Hall '-P 2y'
_cell_length_a 2.6865
_cell_length_b 4.1363
_cell_length_c 5.1294
_cell_angle_alpha 90.00
_cell_angle_beta 104.08
_cell_angle_gamma 90.00
loop_
_atom_site_label
_atom_site_fract_x
_atom_site_fract_y
_atom_site_fract_z
Mn1 0.0000 0.0000 0.0000
Al1 0.5000 0.0000 0.5000
Tc1 0.2021 0.5000 0.7519
# Total moment in μB per cell: 1.37
# Energy relative to the elements in eV per atom: -0.084
# DOS at the Fermi energy in states/eV per atom: 0.892
# Calculated volume in A^3/atom: 13.8
# Total energy in eV for the cell shown: -33.980

***

(7)
# Sm4ErTm2 (GGA-PBE, optimized geometry)
data_Sm4ErTm2
_symmetry_space_group_name_H-M 'F d d 2'
_symmetry_Int_Tables_number 43
_symmetry_space_group_name_Hall 'F 2 -2d'
_cell_length_a 11.8437
_cell_length_b 24.0047
_cell_length_c 6.4010
_cell_angle_alpha 90.00
_cell_angle_beta 90.00
_cell_angle_gamma 90.00
loop_
_atom_site_label
_atom_site_fract_x
_atom_site_fract_y
_atom_site_fract_z
Sm1 0.0533 0.4299 0.0000
Sm2 0.0705 0.3565 0.4683
Er1 0.0000 0.0000 0.0062
Tm1 0.0252 0.2842 0.9418
# Total moment in μB per cell: 0.00
# Energy relative to the elements in eV per atom: 0.054
# Energy relative to the lowest polymorph listed for this composition in meV per atom: 0
# DOS at the Fermi energy in states/eV per atom: 1.375
# Calculated volume in A^3/atom: 32.5
# Total energy in eV for the cell shown: -256.046

***

(8)
# La4AuCI2 (GGA-PBE, optimized geometry)
data_La4AuCI2
_symmetry_space_group_name_H-M 'P 1 2/m 1'
_symmetry_Int_Tables_number 10
_symmetry_space_group_name_Hall '-P 2y'
_cell_length_a 7.6222
_cell_length_b 4.1129
_cell_length_c 8.2540
_cell_angle_alpha 90.00
_cell_angle_beta 106.85
_cell_angle_gamma 90.00
loop_
_atom_site_label
_atom_site_fract_x
_atom_site_fract_y
_atom_site_fract_z
La1 0.1926 0.0000 0.1819
La2 0.2290 0.5000 0.8100
Au1 0.5000 0.0000 0.0000
C1 0.0000 0.5000 0.0000
I1 0.0000 0.0000 0.5000
I2 0.5000 0.5000 0.5000
# Total moment in μB per cell: 0.00
# DOS at the Fermi energy in states/eV per atom: 1.008
# Energy relative to the elements, uncorrected in meV per atom: -765.1
# Calculated volume in A^3/atom: 31.0
# Total energy in eV for the cell shown: -41.432

***

(9)
# La3Y4Er4 (GGA-PBE, optimized geometry)
data_La3Y4Er4
_symmetry_space_group_name_H-M 'I m m m'
_symmetry_Int_Tables_number 71
_symmetry_space_group_name_Hall '-I 2 2'
_cell_length_a 3.6240
_cell_length_b 9.4986
_cell_length_c 21.6493
_cell_angle_alpha 90.00
_cell_angle_beta 90.00
_cell_angle_gamma 90.00
loop_
_atom_site_label
_atom_site_fract_x
_atom_site_fract_y
_atom_site_fract_z
La1 0.0000 0.0000 0.0000
La2 0.0000 0.5000 0.1090
Y1 0.0000 0.3206 0.3510
Er1 0.0000 0.0000 0.2584
Er2 0.0000 0.1835 0.5000
# Total moment in μB per cell: 0.00
# Energy relative to the elements in eV per atom: 0.136
# DOS at the Fermi energy in states/eV per atom: 1.281
# Calculated volume in A^3/atom: 33.9
# Total energy in eV for the cell shown: -114.797

***

(10)
# Tl2InBiSe4 (GGA-PBE, optimized geometry)
data_Tl2InBiSe4
_symmetry_space_group_name_H-M 'I -4 2 m'
_symmetry_Int_Tables_number 121
_symmetry_space_group_name_Hall 'I -4 2'
_cell_length_a 8.2067
_cell_length_b 8.2067
_cell_length_c 7.2367
_cell_angle_alpha 90.00
_cell_angle_beta 90.00
_cell_angle_gamma 90.00
loop_
_atom_site_label
_atom_site_fract_x
_atom_site_fract_y
_atom_site_fract_z
Tl1 0.0000 0.5000 0.0000
In1 0.0000 0.0000 0.0000
Bi1 0.0000 0.0000 0.5000
Se1 0.1794 0.1794 0.7719
# Total moment in μB per cell: 0.00
# Energy relative to the elements, uncorrected in meV per atom: -409.2
# Calculated volume in A^3/atom: 30.5
# Total energy in eV for the cell shown: -57.127

***

(11)
# Tb4Pm2Nd2Sm (GGA-PBE, optimized geometry)
data_Tb4Pm2Nd2Sm
_symmetry_space_group_name_H-M 'C 1 2/m 1'
_symmetry_Int_Tables_number 12
_symmetry_space_group_name_Hall '-C 2y'
_cell_length_a 18.9232
_cell_length_b 3.6484
_cell_length_c 9.6942
_cell_angle_alpha 90.00
_cell_angle_beta 115.73
_cell_angle_gamma 90.00
loop_
_atom_site_label
_atom_site_fract_x
_atom_site_fract_y
_atom_site_fract_z
Tb1 0.0193 0.0000 0.3330
Tb2 0.1852 0.5000 0.3353
Pm1 0.1472 0.5000 0.6637
Nd1 0.1660 0.0000 0.0012
Sm1 0.0000 0.5000 0.0000
# Total moment in μB per cell: 0.00
# Energy relative to the elements in eV per atom: 0.002
# DOS at the Fermi energy in states/eV per atom: 1.309
# Calculated volume in A^3/atom: 33.5
# Total energy in eV for the cell shown: -84.514

***

(12)
# Li2ZnSbH (GGA-PBE, optimized geometry)
data_Li2ZnSbH
_symmetry_space_group_name_H-M 'P 4/m m m'
_symmetry_Int_Tables_number 123
_symmetry_space_group_name_Hall '-P 4 2'
_cell_length_a 4.0860
_cell_length_b 4.0860
_cell_length_c 4.3362
_cell_angle_alpha 90.00
_cell_angle_beta 90.00
_cell_angle_gamma 90.00
loop_
_atom_site_label
_atom_site_fract_x
_atom_site_fract_y
_atom_site_fract_z
Li1 0.0000 0.5000 0.0000
Zn1 0.0000 0.0000 0.5000
Sb1 0.5000 0.5000 0.5000
H1 0.0000 0.0000 0.0000
# Total moment in μB per cell: 0.00
# DOS at the Fermi energy in states/eV per atom: 0.233
# Calculated volume in A^3/atom: 14.5
# Total energy in eV for the cell shown: -14.106